Below is a relaxed CdAsP crystal, with properties calculated at the PBE level.

Crystal system: cubic
E_form, eV/atom: 0.41
V, Å³/atom: 22.26
Magnetization, μB per formula unit: 0.0
E_tot, eV/atom: -3.24

Cell and atoms, written as extended XYZ:
```
3
Lattice="4.554 0.000 0.000 2.277 3.944 0.000 2.277 1.315 3.718" Properties=species:S:1:pos:R:3 pbc="T T T"
Cd 4.554 2.629 1.859
P 2.277 1.315 0.930
As 0.000 0.000 0.000
```

=====

Below is a relaxed CdAsP crystal, with properties calculated at the PBE level.

Crystal system: trigonal
E_form, eV/atom: 0.40
V, Å³/atom: 19.42
Magnetization, μB per formula unit: 0.0
E_tot, eV/atom: -3.26

Cell and atoms, written as extended XYZ:
```
3
Lattice="-2.367 -4.173 -0.875 4.345 0.817 -2.059 1.278 -1.191 2.223" Properties=species:S:1:pos:R:3 pbc="T T T"
Cd 2.525 -1.235 -0.939
As 1.069 -0.997 1.860
P 0.939 -3.507 0.591
```

=====

Below is a relaxed CdAsP crystal, with properties calculated at the PBE level.

Crystal system: monoclinic
E_form, eV/atom: 0.09
V, Å³/atom: 25.09
Magnetization, μB per formula unit: 0.0
E_tot, eV/atom: -3.57

Cell and atoms, written as extended XYZ:
```
6
Lattice="3.093 0.420 -0.131 2.269 6.790 0.793 -0.014 2.566 7.861" Properties=species:S:1:pos:R:3 pbc="T T T"
As 3.099 3.292 1.771
P 2.859 6.860 7.505
Cd 4.426 5.537 2.997
As 1.726 2.772 4.943
Cd 2.670 7.319 4.508
P 4.221 8.559 7.862
```

=====

- Among the records above, which one has the lowest E_form?
  number 3

=====

- Among the records above, which one has the lowest E_form?
  number 3

=====

- The lowest E_form belongs to which entry?
  number 3